KGa2Sn | PBE-GGA | optimized geometry

POSCAR file:
```
KGa2Sn
1.0
2.281 1.317 8.717
-2.281 1.317 8.717
0.000 -2.633 8.717
K Ga Sn
1 2 1
direct
0.000 0.000 0.000
0.126 0.126 0.126
0.874 0.874 0.874
0.500 0.500 0.500
```

As for the symmetry: R-3m (166). Its volume is 157.1 Å³/f.u. The value obtained for the formation energy is 0.54 eV/f.u.

=====

CeHoFeCo | PBE-GGA | optimized geometry

POSCAR file:
```
CeHoFeCo
1.0
0.000 3.346 3.346
3.346 0.000 3.346
3.346 3.346 0.000
Ce Ho Fe Co
1 1 1 1
direct
0.000 0.000 0.000
0.500 0.500 0.500
0.250 0.250 0.250
0.750 0.750 0.750
```

As for the symmetry: F-43m (216). Its volume is 74.9 Å³/f.u. The value obtained for the formation energy is -0.03 eV/f.u.

=====

FeAu | PBE-GGA | optimized geometry

POSCAR file:
```
FeAu
1.0
3.783 0.000 0.000
0.000 7.845 0.000
0.000 0.000 6.403
Fe Au
6 6
direct
0.250 0.096 0.058
0.250 0.250 0.398
0.250 0.404 0.058
0.750 0.596 0.942
0.750 0.750 0.602
0.750 0.904 0.942
0.250 0.517 0.666
0.250 0.750 0.194
0.250 0.983 0.666
0.750 0.017 0.334
0.750 0.250 0.806
0.750 0.483 0.334
```

As for the symmetry: Pmmn (59). Its volume is 31.7 Å³/f.u. The value obtained for the formation energy is 0.49 eV/f.u.